Sr2TbCd12Ag3 GGA-PBE relaxed; V = 520.00 Å³/f.u.; ΔH_f (0 K) = 0.067 eV/atom
1.0
9.4360 0.4895 0.3472
5.0856 7.9632 0.3472
5.0856 2.9603 7.4007
Cd Tb Ag Sr
12 1 3 2
Direct
0.2282 0.8519 0.2282
0.7718 0.1481 0.7718
0.5297 0.1696 0.1696
0.8304 0.4703 0.8304
0.8304 0.8304 0.4703
0.1696 0.5297 0.1696
0.7718 0.7718 0.1481
0.4703 0.8304 0.8304
0.1696 0.1696 0.5297
0.2282 0.2282 0.8519
0.1481 0.7718 0.7718
0.8519 0.2282 0.2282
0.0000 0.0000 0.0000
0.0000 0.0000 0.5000
0.0000 0.5000 0.0000
0.5000 0.0000 0.0000
0.4100 0.4100 0.4100
0.5900 0.5900 0.5900


SmLuTh GGA-PBE relaxed; V = 95.56 Å³/f.u.; energy relative to the lowest polymorph listed for this composition = 0 meV per atom; ΔH_f (0 K) = 0.033 eV/atom
1.0
-3.1651 -0.9194 -1.3646
0.8598 -0.9716 3.3229
-3.4471 7.3522 3.0417
Lu Sm Th
1 1 1
Direct
0.6667 0.3333 0.3256
0.3333 0.6667 0.6699
0.0000 0.0000 0.0044


TbC2IO6 GGA-PBE relaxed; V = 140.42 Å³/f.u.; E_form (uncorrected) = -1742 meV/atom
1.0
6.5390 0.4023 -0.4397
-0.4013 6.5391 -0.4397
-2.2225 -2.5135 6.8619
O C Tb I
12 4 2 2
Direct
0.1456 0.3181 0.0625
0.9120 0.3987 0.2320
0.7128 0.5299 0.6058
0.2872 0.4701 0.3942
0.5299 0.7128 0.1058
0.8544 0.6819 0.9375
0.3987 0.9120 0.7320
0.0880 0.6013 0.7680
0.6819 0.8544 0.4375
0.3181 0.1456 0.5625
0.4701 0.2872 0.8942
0.6013 0.0880 0.2680
0.6053 0.8971 0.2690
0.8971 0.6053 0.7690
0.3947 0.1029 0.7310
0.1029 0.3947 0.2310
0.5716 0.4284 0.2500
0.4284 0.5716 0.7500
0.9010 0.0990 0.7500
0.0990 0.9010 0.2500


PmCdCuPd GGA-PBE relaxed; V = 80.90 Å³/f.u.; ΔH_f (0 K) = -0.407 eV/atom
1.0
4.8546 0.0000 0.0000
2.4273 4.2042 0.0000
2.4273 1.4014 3.9638
Cu Pm Pd Cd
1 1 1 1
Direct
0.0000 0.0000 0.0000
0.2500 0.2500 0.2500
0.5000 0.5000 0.5000
0.7500 0.7500 0.7500


MgPd6Pb2 GGA-PBE relaxed; V = 167.57 Å³/f.u.; ΔH_f (0 K) = -0.226 eV/atom
1.0
-0.6034 1.5111 -2.6762
4.3701 -5.0217 -3.8208
-7.4562 -2.2988 2.2028
Pb Pd Mg
2 6 1
Direct
0.3336 0.3368 0.6736
0.6664 0.6632 0.3264
0.5000 0.7140 0.0000
0.5000 0.2860 0.0000
0.1660 0.9749 0.3297
0.8340 0.6452 0.6703
0.8340 0.0251 0.6703
0.1660 0.3548 0.3297
0.0000 0.0000 0.0000


Nd2Sm3Y6Mg GGA-PBE relaxed; V = 388.91 Å³/f.u.; ΔH_f (0 K) = 0.020 eV/atom
1.0
-4.9921 3.2326 1.7555
-0.4185 -4.0670 -4.6623
-0.9711 -8.1453 8.5726
Y Sm Mg Nd
6 3 1 2
Direct
0.0826 0.4136 0.2487
0.5864 0.9174 0.7513
0.9174 0.5864 0.7513
0.7516 0.7516 0.2498
0.2484 0.2484 0.7502
0.4136 0.0826 0.2487
0.1657 0.8343 0.5000
0.8343 0.1657 0.5000
0.5000 0.5000 0.5000
0.0000 0.0000 0.0000
0.3339 0.6661 0.0000
0.6661 0.3339 0.0000


LaIn2Br GGA-PBE relaxed; V = 131.47 Å³/f.u.; energy relative to the lowest polymorph listed for this composition = 223 meV per atom; E_form (uncorrected) = -440 meV/atom
1.0
4.7303 0.0000 0.0000
0.0000 4.7303 0.0000
0.0000 0.0000 5.8756
In Br La
2 1 1
Direct
0.0000 0.0000 0.4889
0.0000 0.0000 0.0111
0.5000 0.5000 0.7500
0.5000 0.5000 0.2500


Ho3RhN GGA-PBE relaxed; V = 102.60 Å³/f.u.; E_form (uncorrected) = -879 meV/atom
1.0
-1.5951 -2.3819 3.7012
-3.5409 -1.6438 -2.5839
2.6142 -3.6799 -1.2415
Ho Rh N
3 1 1
Direct
0.0000 0.5000 0.0000
0.0000 0.0000 0.5000
0.5000 0.0000 0.0000
0.5000 0.5000 0.5000
0.0000 0.0000 0.0000


MgSn3Te6Pb2 GGA-PBE relaxed; V = 393.03 Å³/f.u.; E_form (uncorrected) = -397 meV/atom
1.0
-0.8722 -4.4413 0.1260
3.2693 -0.8805 -8.4067
8.3676 0.8233 5.5852
Te Sn Mg Pb
6 3 1 2
Direct
0.9965 0.2342 0.9931
0.3424 0.9257 0.6847
0.0035 0.7658 0.0069
0.6576 0.0743 0.3153
0.6649 0.5889 0.3299
0.3351 0.4111 0.6701
0.1655 0.8356 0.3310
0.8345 0.1644 0.6690
0.5000 0.5000 0.0000
0.5000 0.0000 0.0000
0.8348 0.6678 0.6697
0.1652 0.3322 0.3303


NaLuH GGA-PBE relaxed; total DFT energy (no corrections) = -3.046 eV/atom; V = 62.85 Å³/f.u.
1.0
1.4138 2.3945 5.3558
2.7318 -0.4638 5.3609
11.7704 5.4504 12.9303
H Na Lu
2 2 2
Direct
0.7795 0.7795 0.9885
0.9738 0.9738 0.3188
0.8195 0.8195 0.2815
0.9338 0.9338 0.0259
0.5860 0.5860 0.7626
0.1670 0.1670 0.5447


SrIn3Cu GGA-PBE relaxed; V = 244.50 Å³/f.u.; ΔH_f (0 K) = 1.119 eV/atom
1.0
6.2530 0.0000 0.0000
0.0000 6.2530 0.0000
0.0000 0.0000 6.2530
In Sr Cu
3 1 1
Direct
0.5000 0.0000 0.0000
0.0000 0.5000 0.0000
0.0000 0.0000 0.5000
0.0000 0.0000 0.0000
0.5000 0.5000 0.5000


Sm3Cd2Pt3 GGA-PBE relaxed; V = 188.60 Å³/f.u.; ΔH_f (0 K) = -0.875 eV/atom
1.0
-1.3734 3.3397 4.6302
-8.3285 -1.8960 -1.1029
4.9158 -4.9630 5.0378
Sm Pt Cd
6 6 4
Direct
0.2500 0.0000 0.7182
0.2500 0.2818 0.2818
0.7500 0.7182 0.7182
0.7500 0.2818 0.0000
0.7500 0.0000 0.2818
0.2500 0.7182 0.0000
0.7500 0.0000 0.6226
0.2500 0.3774 0.0000
0.7500 0.6226 0.0000
0.7500 0.3774 0.3774
0.2500 0.6226 0.6226
0.2500 0.0000 0.3774
0.0000 0.3333 0.6667
0.0000 0.6667 0.3333
0.5000 0.6667 0.3333
0.5000 0.3333 0.6667


La2MgAlH GGA-PBE relaxed; V = 113.82 Å³/f.u.; energy relative to the lowest polymorph listed for this composition = 0 meV per atom
1.0
-4.7514 -1.3394 -0.7097
1.4530 -3.3591 -3.3880
0.3963 -3.1512 3.2942
H La Mg Al
1 2 1 1
Direct
0.0000 0.0000 0.0000
0.0000 0.5000 0.0000
0.5000 0.0000 0.0000
0.0000 0.0000 0.5000
0.5000 0.5000 0.5000


SnGeC3 GGA-PBE relaxed; V = 66.07 Å³/f.u.; energy relative to the lowest polymorph listed for this composition = 0 meV per atom; ΔH_f (0 K) = 2.442 eV/atom
1.0
4.0426 0.0000 0.0000
0.0000 4.0426 0.0000
0.0000 0.0000 4.0426
Ge Sn C
1 1 3
Direct
0.0000 0.0000 0.0000
0.5000 0.5000 0.5000
0.0000 0.5000 0.0000
0.0000 0.0000 0.5000
0.5000 0.0000 0.0000


CsSi2Pb2 GGA-PBE relaxed; V = 152.73 Å³/f.u.; energy relative to the lowest polymorph listed for this composition = 0 meV per atom; E_form (uncorrected) = 188 meV/atom
1.0
-0.2665 4.3599 2.9347
-0.1313 -2.9431 4.3604
5.3076 0.8632 3.9178
Pb Si Cs
2 2 1
Direct
0.7500 0.2500 0.5000
0.2500 0.7500 0.5000
0.3913 0.3913 0.2174
0.6087 0.6087 0.7826
0.0000 0.0000 0.0000


HfThCoTc GGA-PBE relaxed; V = 76.73 Å³/f.u.; ΔH_f (0 K) = -0.188 eV/atom
1.0
-3.1512 -1.6168 -3.1946
-1.8999 -4.3448 0.5124
-4.5911 -0.4684 1.2051
Hf Tc Th Co
1 1 1 1
Direct
0.7500 0.7500 0.7500
0.5000 0.5000 0.5000
0.2500 0.2500 0.2500
0.0000 0.0000 0.0000


KMg14Cd GGA-PBE relaxed; V = 390.22 Å³/f.u.; energy relative to the lowest polymorph listed for this composition = 0 meV per atom; ΔH_f (0 K) = 0.067 eV/atom
1.0
4.3481 4.8360 0.1960
-6.3317 1.2820 0.7723
1.0119 -1.3360 10.5139
Mg Cd K
14 1 1
Direct
0.6628 0.8251 0.2413
0.6628 0.8251 0.7587
0.1683 0.8317 0.2626
0.3368 0.1779 0.5000
0.3295 0.1597 0.0000
0.3309 0.6691 0.0000
0.1683 0.8317 0.7374
0.6628 0.3372 0.2378
0.1749 0.3372 0.2413
0.1749 0.3372 0.7587
0.8221 0.6632 0.5000
0.6628 0.3372 0.7622
0.8403 0.6705 0.0000
0.8341 0.1659 0.0000
0.3376 0.6624 0.5000
0.8310 0.1690 0.5000


ErHf2Al6 GGA-PBE relaxed; V = 185.65 Å³/f.u.; energy relative to the lowest polymorph listed for this composition = 131 meV per atom; ΔH_f (0 K) = -0.244 eV/atom
1.0
-1.0048 -4.0928 0.3694
4.7410 -2.8735 5.2837
-1.3649 -1.1796 7.4429
Al Er Hf
6 1 2
Direct
0.3090 0.3984 0.9835
0.6910 0.0165 0.6016
0.6910 0.6016 0.0165
0.5000 0.6890 0.3110
0.5000 0.3110 0.6890
0.3090 0.9835 0.3984
0.0000 0.0000 0.0000
0.8840 0.6160 0.6160
0.1160 0.3840 0.3840


La3Nd5Ho4 GGA-PBE relaxed; V = 417.52 Å³/f.u.; ΔH_f (0 K) = 0.221 eV/atom
1.0
-0.2812 1.6766 -5.8015
-6.0018 -4.7662 -4.2363
-3.1604 9.2583 -0.3210
Ho La Nd
4 3 5
Direct
0.1424 0.7782 0.9370
0.1598 0.0493 0.6310
0.8402 0.9507 0.3690
0.8576 0.2218 0.0630
0.4869 0.3077 0.7185
0.0000 0.5000 0.5000
0.5131 0.6923 0.2815
0.5000 0.5000 0.5000
0.3765 0.0471 0.1999
0.6235 0.9529 0.8001
0.7801 0.5466 0.8933
0.2199 0.4534 0.1067


Pu2PbS4 GGA-PBE relaxed; V = 177.56 Å³/f.u.; energy relative to the lowest polymorph listed for this composition = 0 meV per atom; E_form (uncorrected) = -1314 meV/atom
1.0
-1.9482 -2.2016 -2.7348
5.9329 -3.1921 1.2907
-5.9243 -7.0195 9.8711
S Pb Pu
8 2 4
Direct
0.7653 0.5307 0.1126
0.2347 0.4693 0.6126
0.7653 0.5307 0.3874
0.5000 0.0000 0.0000
0.2347 0.4693 0.8874
0.0469 0.0937 0.2500
0.9531 0.9063 0.7500
0.5000 0.0000 0.5000
0.3929 0.7858 0.2500
0.6071 0.2142 0.7500
0.8663 0.7326 0.5654
0.1337 0.2674 0.0654
0.8663 0.7326 0.9346
0.1337 0.2674 0.4346


KRbCa2Pd GGA-PBE relaxed; V = 223.92 Å³/f.u.; energy relative to the lowest polymorph listed for this composition = 0 meV per atom; ΔH_f (0 K) = -0.109 eV/atom
1.0
-2.0287 4.0538 3.5146
-3.7927 -3.7413 2.1259
4.5026 -1.8652 4.7504
K Rb Pd Ca
1 1 1 2
Direct
0.0000 0.0000 0.5000
0.5000 0.5000 0.5000
0.0000 0.0000 0.0000
0.0000 0.5000 0.0000
0.5000 0.0000 0.0000


BeCu2Au GGA-PBE relaxed; V = 50.95 Å³/f.u.; ΔH_f (0 K) = -0.024 eV/atom
1.0
-1.6911 -4.1348 0.2145
0.6339 -3.6559 -2.4970
2.3584 -2.7458 1.5372
Au Cu Be
1 2 1
Direct
0.5135 0.5135 0.4858
0.9832 0.9832 0.0169
0.7490 0.7490 0.7509
0.2543 0.2543 0.2465


Ce2AgPb3 GGA-PBE relaxed; V = 184.86 Å³/f.u.; ΔH_f (0 K) = -0.070 eV/atom
1.0
-0.3998 4.6685 -1.5999
0.8137 -2.0302 -6.1276
-5.8816 -1.9874 3.3316
Ce Pb Ag
2 3 1
Direct
0.3172 0.8172 0.6344
0.6828 0.1828 0.3656
0.0000 0.0000 0.0000
0.3564 0.3564 0.7129
0.6436 0.6436 0.2871
0.0000 0.5000 0.0000


AlPICl2 GGA-PBE relaxed; V = 165.06 Å³/f.u.; energy relative to the lowest polymorph listed for this composition = 907 meV per atom; E_form (uncorrected) = 616 meV/atom
1.0
5.6624 0.0000 0.0000
0.0000 5.6624 0.0000
0.0000 0.0000 5.1480
Cl I P Al
2 1 1 1
Direct
0.0000 0.5000 0.0000
0.5000 0.0000 0.0000
0.0000 0.0000 0.0000
0.0000 0.0000 0.5000
0.5000 0.5000 0.5000